No. 1
# MgNi2Pd2 | Alexandria via LeMat-Bulk | PBE-GGA | relaxed
data_MgNi2Pd2
_chemical_formula_sum 'Mg2 Ni4 Pd4'
_space_group_name_H-M_alt 'P 4/m b m'
_space_group_IT_number 127
_space_group_name_Hall '-P 4 2ab'
_cell_length_a 7.1170
_cell_length_b 7.1170
_cell_length_c 2.8836
_cell_angle_alpha 90.00
_cell_angle_beta 90.00
_cell_angle_gamma 90.00
loop_
_atom_site_label
_atom_site_type_symbol
_atom_site_fract_x
_atom_site_fract_y
_atom_site_fract_z
Mg1 Mg 0.0000 0.0000 0.0000
Ni1 Ni 0.1186 0.3814 0.0000
Pd1 Pd 0.1781 0.6781 0.5000
# Magnetization = 2.7 Bohr magnetons per cell
# Crystal system = tetragonal
# E_tot = -48.13 eV/cell

No. 2
# Tl3Cd3Hg8 | Alexandria via LeMat-Bulk | PBE-GGA | relaxed
data_Tl3Cd3Hg8
_chemical_formula_sum 'Tl6 Cd6 Hg16'
_space_group_name_H-M_alt 'I m m m'
_space_group_IT_number 71
_space_group_name_Hall '-I 2 2'
_cell_length_a 5.2467
_cell_length_b 10.5879
_cell_length_c 13.7622
_cell_angle_alpha 90.00
_cell_angle_beta 90.00
_cell_angle_gamma 90.00
loop_
_atom_site_label
_atom_site_type_symbol
_atom_site_fract_x
_atom_site_fract_y
_atom_site_fract_z
Tl1 Tl 0.0000 0.0000 0.0000
Tl2 Tl 0.0000 0.0000 0.2755
Cd1 Cd 0.0000 0.1435 0.5000
Cd2 Cd 0.0000 0.5000 0.0000
Hg1 Hg 0.0000 0.2924 0.1495
Hg2 Hg 0.0000 0.3613 0.3674
# Magnetization = 0.0 Bohr magnetons per cell
# Crystal system = orthorhombic
# E_tot = -24.34 eV/cell

No. 3
# CuTe3Mo | Alexandria via LeMat-Bulk | PBE-GGA | relaxed
data_CuTe3Mo
_chemical_formula_sum 'Cu1 Te3 Mo1'
_space_group_name_H-M_alt 'P m -3 m'
_space_group_IT_number 221
_space_group_name_Hall '-P 4 2 3'
_cell_length_a 5.0818
_cell_length_b 5.0818
_cell_length_c 5.0818
_cell_angle_alpha 90.00
_cell_angle_beta 90.00
_cell_angle_gamma 90.00
loop_
_atom_site_label
_atom_site_type_symbol
_atom_site_fract_x
_atom_site_fract_y
_atom_site_fract_z
Cu1 Cu 0.0000 0.0000 0.0000
Te1 Te 0.0000 0.0000 0.5000
Mo1 Mo 0.5000 0.5000 0.5000
# Magnetization = 3.0 Bohr magnetons per cell
# Crystal system = cubic
# E_tot = -19.57 eV/cell

No. 4
# Dy3Y3Th4 | Alexandria via LeMat-Bulk | PBE-GGA | relaxed
data_Dy3Y3Th4
_chemical_formula_sum 'Dy6 Y6 Th8'
_space_group_name_H-M_alt 'A m m 2'
_space_group_IT_number 38
_cell_length_a 3.9260
_cell_length_b 13.0284
_cell_length_c 13.0012
_cell_angle_alpha 90.00
_cell_angle_beta 90.00
_cell_angle_gamma 90.00
loop_
_space_group_symop_operation_xyz
'x,y,z'
'-x,-y,z'
'-x,y,z'
'x,-y,z'
'x,y+1/2,z+1/2'
'-x,-y+1/2,z+1/2'
'-x,y+1/2,z+1/2'
'x,-y+1/2,z+1/2'
loop_
_atom_site_label
_atom_site_type_symbol
_atom_site_fract_x
_atom_site_fract_y
_atom_site_fract_z
Dy1 Dy 0.0000 0.0000 0.0000
Dy2 Dy 0.5000 0.2495 0.4131
Y1 Y 0.0000 0.0000 0.3270
Y2 Y 0.0000 0.1641 0.6642
Th1 Th 0.5000 0.0000 0.5315
Th2 Th 0.5000 0.0000 0.7980
Th3 Th 0.5000 0.1320 0.1615
# Magnetization = 0.0 Bohr magnetons per cell
# Crystal system = orthorhombic
# E_tot = -120.94 eV/cell

No. 5
# Na2Tl4BiPb | Alexandria via LeMat-Bulk | PBE-GGA | relaxed
data_Na2Tl4BiPb
_chemical_formula_sum 'Na8 Tl16 Bi4 Pb4'
_space_group_name_H-M_alt 'C m c m'
_space_group_IT_number 63
_space_group_name_Hall '-C 2c 2'
_cell_length_a 3.6334
_cell_length_b 22.7992
_cell_length_c 11.6936
_cell_angle_alpha 90.00
_cell_angle_beta 90.00
_cell_angle_gamma 90.00
loop_
_atom_site_label
_atom_site_type_symbol
_atom_site_fract_x
_atom_site_fract_y
_atom_site_fract_z
Na1 Na 0.0000 0.1237 0.0033
Tl1 Tl 0.0000 0.0244 0.7500
Tl2 Tl 0.0000 0.2629 0.6144
Tl3 Tl 0.0000 0.5000 0.0000
Bi1 Bi 0.0000 0.3965 0.7500
Pb1 Pb 0.0000 0.3441 0.2500
# Magnetization = 0.0 Bohr magnetons per cell
# Crystal system = orthorhombic
# E_tot = -81.50 eV/cell

No. 6
# MgHgF4 | Alexandria via LeMat-Bulk | PBE-GGA | relaxed
data_MgHgF4
_chemical_formula_sum 'Mg2 Hg2 F8'
_space_group_name_H-M_alt 'P 1 21/c 1'
_space_group_IT_number 14
_cell_length_a 5.4795
_cell_length_b 5.2516
_cell_length_c 5.5046
_cell_angle_alpha 90.00
_cell_angle_beta 95.08
_cell_angle_gamma 90.00
loop_
_space_group_symop_operation_xyz
'x,y,z'
'-x,-y,-z'
'-x,y+1/2,-z+1/2'
'x,-y+1/2,z+1/2'
loop_
_atom_site_label
_atom_site_type_symbol
_atom_site_fract_x
_atom_site_fract_y
_atom_site_fract_z
Mg1 Mg 0.0000 0.0000 0.0000
Hg1 Hg 0.5000 0.0000 0.5000
F1 F 0.1334 0.2049 0.7236
F2 F 0.3244 0.6558 0.6018
# Magnetization = 0.0 Bohr magnetons per cell
# Crystal system = monoclinic
# E_tot = -48.14 eV/cell

No. 7
# Ca2YFeBr | Alexandria via LeMat-Bulk | PBE-GGA | relaxed
data_Ca2YFeBr
_chemical_formula_sum 'Ca2 Y1 Fe1 Br1'
_space_group_name_H-M_alt 'P 4/m m m'
_space_group_IT_number 123
_space_group_name_Hall '-P 4 2'
_cell_length_a 5.3830
_cell_length_b 5.3830
_cell_length_c 5.4947
_cell_angle_alpha 90.00
_cell_angle_beta 90.00
_cell_angle_gamma 90.00
loop_
_atom_site_label
_atom_site_type_symbol
_atom_site_fract_x
_atom_site_fract_y
_atom_site_fract_z
Ca1 Ca 0.0000 0.5000 0.0000
Y1 Y 0.0000 0.0000 0.5000
Fe1 Fe 0.5000 0.5000 0.5000
Br1 Br 0.0000 0.0000 0.0000
# Magnetization = 1.8 Bohr magnetons per cell
# Crystal system = tetragonal
# E_tot = -19.16 eV/cell

No. 8
# K2SrAu2Cl6 | Alexandria via LeMat-Bulk | PBE-GGA | relaxed
data_K2SrAu2Cl6
_chemical_formula_sum 'K4 Sr2 Au4 Cl12'
_space_group_name_H-M_alt 'C 1 2/m 1'
_space_group_IT_number 12
_cell_length_a 13.8605
_cell_length_b 7.5771
_cell_length_c 7.7865
_cell_angle_alpha 90.00
_cell_angle_beta 121.86
_cell_angle_gamma 90.00
loop_
_space_group_symop_operation_xyz
'x,y,z'
'-x,-y,-z'
'-x,y,-z'
'x,-y,z'
'x+1/2,y+1/2,z'
'-x+1/2,-y+1/2,-z'
'-x+1/2,y+1/2,-z'
'x+1/2,-y+1/2,z'
loop_
_atom_site_label
_atom_site_type_symbol
_atom_site_fract_x
_atom_site_fract_y
_atom_site_fract_z
K1 K 0.2381 0.0000 0.1919
Sr1 Sr 0.0000 0.0000 0.5000
Au1 Au 0.0619 0.5000 0.2259
Cl1 Cl 0.0782 0.2541 0.8237
Cl2 Cl 0.2344 0.0000 0.5959
# Magnetization = 0.0 Bohr magnetons per cell
# Crystal system = monoclinic
# E_tot = -73.06 eV/cell

No. 9
# Ca2SnS4 | Alexandria via LeMat-Bulk | PBE-GGA | relaxed
data_Ca2SnS4
_chemical_formula_sum 'Ca4 Sn2 S8'
_space_group_name_H-M_alt 'P 63 m c'
_space_group_IT_number 186
_space_group_name_Hall 'P 6c -2c'
_cell_length_a 7.5263
_cell_length_b 7.5263
_cell_length_c 7.8594
_cell_angle_alpha 90.00
_cell_angle_beta 90.00
_cell_angle_gamma 120.00
loop_
_atom_site_label
_atom_site_type_symbol
_atom_site_fract_x
_atom_site_fract_y
_atom_site_fract_z
Ca1 Ca 0.0000 0.0000 0.0000
Ca2 Ca 0.3333 0.6667 0.4884
Sn1 Sn 0.3333 0.6667 0.0996
S1 S 0.1660 0.3320 0.2413
S2 S 0.3333 0.6667 0.8118
# Magnetization = 0.0 Bohr magnetons per cell
# Crystal system = hexagonal
# E_tot = -63.15 eV/cell

No. 10
# La8Tc2Pb | Alexandria via LeMat-Bulk | PBE-GGA | relaxed
data_La8Tc2Pb
_chemical_formula_sum 'La16 Tc4 Pb2'
_space_group_name_H-M_alt 'C 1 2/m 1'
_space_group_IT_number 12
_cell_length_a 15.0905
_cell_length_b 9.0426
_cell_length_c 5.4347
_cell_angle_alpha 90.00
_cell_angle_beta 100.64
_cell_angle_gamma 90.00
loop_
_space_group_symop_operation_xyz
'x,y,z'
'-x,-y,-z'
'-x,y,-z'
'x,-y,z'
'x+1/2,y+1/2,z'
'-x+1/2,-y+1/2,-z'
'-x+1/2,y+1/2,-z'
'x+1/2,-y+1/2,z'
loop_
_atom_site_label
_atom_site_type_symbol
_atom_site_fract_x
_atom_site_fract_y
_atom_site_fract_z
La1 La 0.0558 0.0000 0.2959
La2 La 0.1280 0.2794 0.8959
La3 La 0.2268 0.5000 0.4656
Tc1 Tc 0.1893 0.0000 0.9012
Pb1 Pb 0.0000 0.5000 0.5000
# Magnetization = 0.0 Bohr magnetons per cell
# Crystal system = monoclinic
# E_tot = -128.73 eV/cell

No. 11
# LiTbEuLu | Alexandria via LeMat-Bulk | PBE-GGA | relaxed
data_LiTbEuLu
_chemical_formula_sum 'Li4 Tb4 Eu4 Lu4'
_space_group_name_H-M_alt 'F -4 3 m'
_space_group_IT_number 216
_space_group_name_Hall 'F -4 2 3'
_cell_length_a 7.8902
_cell_length_b 7.8902
_cell_length_c 7.8902
_cell_angle_alpha 90.00
_cell_angle_beta 90.00
_cell_angle_gamma 90.00
loop_
_atom_site_label
_atom_site_type_symbol
_atom_site_fract_x
_atom_site_fract_y
_atom_site_fract_z
Li1 Li 0.0000 0.0000 0.0000
Tb1 Tb 0.2500 0.2500 0.2500
Eu1 Eu 0.2500 0.2500 0.7500
Lu1 Lu 0.0000 0.0000 0.5000
# Magnetization = 28.5 Bohr magnetons per cell
# Crystal system = cubic
# E_tot = -82.18 eV/cell

What did the tenth record say?
# La8Tc2Pb | Alexandria via LeMat-Bulk | PBE-GGA | relaxed
data_La8Tc2Pb
_chemical_formula_sum 'La16 Tc4 Pb2'
_space_group_name_H-M_alt 'C 1 2/m 1'
_space_group_IT_number 12
_cell_length_a 15.0905
_cell_length_b 9.0426
_cell_length_c 5.4347
_cell_angle_alpha 90.00
_cell_angle_beta 100.64
_cell_angle_gamma 90.00
loop_
_space_group_symop_operation_xyz
'x,y,z'
'-x,-y,-z'
'-x,y,-z'
'x,-y,z'
'x+1/2,y+1/2,z'
'-x+1/2,-y+1/2,-z'
'-x+1/2,y+1/2,-z'
'x+1/2,-y+1/2,z'
loop_
_atom_site_label
_atom_site_type_symbol
_atom_site_fract_x
_atom_site_fract_y
_atom_site_fract_z
La1 La 0.0558 0.0000 0.2959
La2 La 0.1280 0.2794 0.8959
La3 La 0.2268 0.5000 0.4656
Tc1 Tc 0.1893 0.0000 0.9012
Pb1 Pb 0.0000 0.5000 0.5000
# Magnetization = 0.0 Bohr magnetons per cell
# Crystal system = monoclinic
# E_tot = -128.73 eV/cell

What is the formula in the fourth record? Dy3Y3Th4

Among the records above, which one has the lowest E_tot? La8Tc2Pb